No. 1
First-principles (GGA-PBE) data for an optimized crystal structure of TmMnAlS4, as listed in Alexandria via LeMat-Bulk.

a b c (Å): 7.4751 7.4751 7.4751
angles (deg): 120.25 119.49 90.23
Atoms (fractional coordinates):
Tm1 0.0000 0.0000 0.0000
Tm2 0.5000 0.0000 0.5000
Mn1 0.5000 0.0000 0.0000
Mn2 0.5000 0.5000 0.5000
Al1 0.1189 0.3689 0.7500
Al2 0.8811 0.6311 0.2500
S1 0.2526 0.2574 0.5048
S2 0.2526 0.7478 0.9952
S3 0.2554 0.7459 0.5095
S4 0.2636 0.2541 0.0095
S5 0.7364 0.7459 0.9905
S6 0.7446 0.2541 0.4905
S7 0.7474 0.2522 0.0048
S8 0.7474 0.7426 0.4952

## Properties
Space group = Imma, No. 74

No. 2
First-principles (GGA-PBE) data for an optimized crystal structure of Y3MnAlS7, as listed in Alexandria via LeMat-Bulk.

a b c (Å): 9.6966 9.6966 6.1910
angles (deg): 90.00 90.00 120.00
Atoms (fractional coordinates):
Y1 0.1523 0.3797 0.0000
Y2 0.2274 0.8477 0.0000
Y3 0.3797 0.2274 0.5000
Y4 0.6203 0.7726 0.0000
Y5 0.7726 0.1523 0.5000
Y6 0.8477 0.6203 0.5000
Mn1 0.0000 0.0000 0.3146
Mn2 0.0000 0.0000 0.8146
Al1 0.3333 0.6667 0.4237
Al2 0.6667 0.3333 0.9237
S1 0.0925 0.5730 0.2671
S2 0.1051 0.2437 0.5894
S3 0.1386 0.8949 0.5894
S4 0.2437 0.1386 0.0894
S5 0.3333 0.6667 0.7873
S6 0.4270 0.5195 0.2671
S7 0.4805 0.9075 0.2671
S8 0.5195 0.0925 0.7671
S9 0.5730 0.4805 0.7671
S10 0.6667 0.3333 0.2873
S11 0.7563 0.8614 0.5894
S12 0.8614 0.1051 0.0894
S13 0.8949 0.7563 0.0894
S14 0.9075 0.4270 0.7671

## Properties
Space group = P6_3, No. 173

| no. | formation energy (no corrections) (eV per atom) | total moment (μB per atom) |
| --- | --- | --- |
| 1 | -1.23 | 0.71 |
| 2 | -1.61 | 0.42 |